# 1
# Nd5CN6

A relaxed structure of Nd5CN6 (PBE, Alexandria via LeMat-Bulk).

Output
The value obtained for the raw formation energy is -367 meV per atom. For the density of states at the Fermi level, the calculation gives 0.812 states/eV/atom. The raw total energy comes out at -7.28 eV per atom. The crystal system is monoclinic.

Unit cell a=6.257 b=6.257 c=6.210 alpha=99.49 beta=99.49 gamma=120.01
Fractional coordinates of all 12 atoms:
Nd: 0.000 0.000 0.000
Nd: 0.168 0.832 0.500
Nd: 0.339 0.661 0.000
Nd: 0.661 0.339 0.000
Nd: 0.832 0.168 0.500
C: 0.500 0.500 0.500
N: 0.058 0.415 0.241
N: 0.233 0.233 0.764
N: 0.415 0.058 0.241
N: 0.585 0.942 0.759
N: 0.767 0.767 0.236
N: 0.942 0.585 0.759

=====

# 2
# NdPa3Sn12

A relaxed structure of NdPa3Sn12 (PBE, Alexandria via LeMat-Bulk).

Output
For the density of states at the Fermi level, the calculation gives 0.940 states/eV/atom. The value obtained for the energy of formation is -0.349 eV/atom. The raw total energy comes out at -5.43 eV per atom. The crystal system is tetragonal.

Unit cell a=4.687 b=4.687 c=18.606 alpha=90.00 beta=90.00 gamma=90.00
Fractional coordinates of all 16 atoms:
Nd: 0.000 0.000 0.000
Pa: 0.000 0.000 0.255
Pa: 0.000 0.000 0.500
Pa: 0.000 0.000 0.745
Sn: 0.000 0.500 0.129
Sn: 0.000 0.500 0.377
Sn: 0.000 0.500 0.623
Sn: 0.000 0.500 0.871
Sn: 0.500 0.000 0.129
Sn: 0.500 0.000 0.377
Sn: 0.500 0.000 0.623
Sn: 0.500 0.000 0.871
Sn: 0.500 0.500 0.000
Sn: 0.500 0.500 0.253
Sn: 0.500 0.500 0.500
Sn: 0.500 0.500 0.747

=====

# 3
# HfTl2InS

A relaxed structure of HfTl2InS (PBE, Alexandria via LeMat-Bulk).

Output
The value obtained for the raw formation energy is 753 meV per atom. For the density of states at the Fermi level, the calculation gives 0.862 states/eV/atom. The raw total energy comes out at -3.56 eV per atom. The crystal system is tetragonal.

Unit cell a=5.522 b=5.522 c=4.919 alpha=90.00 beta=90.00 gamma=90.00
Fractional coordinates of all 5 atoms:
Hf: 0.000 0.000 0.000
Tl: 0.000 0.500 0.500
Tl: 0.500 0.000 0.500
In: 0.500 0.500 0.000
S: 0.500 0.500 0.500

=====

# 4
# K2AsPb

A relaxed structure of K2AsPb (PBE, Alexandria via LeMat-Bulk).

Output
The value obtained for the excess energy over the best structure of this formula in the dataset is 6.9 kJ/mol of atoms. For the density of states at the Fermi level, the calculation gives 0.257 states/eV/atom. The value obtained for the energy of formation is -0.243 eV/atom. The raw total energy comes out at -2.88 eV per atom. The crystal system is trigonal.

Unit cell a=4.440 b=4.440 c=30.529 alpha=90.00 beta=90.00 gamma=120.00
Fractional coordinates of all 12 atoms:
K: 0.000 0.000 0.000
K: 0.000 0.000 0.198
K: 0.333 0.667 0.667
K: 0.333 0.667 0.865
K: 0.667 0.333 0.333
K: 0.667 0.333 0.531
As: 0.000 0.000 0.465
As: 0.333 0.667 0.132
As: 0.667 0.333 0.798
Pb: 0.000 0.000 0.755
Pb: 0.333 0.667 0.422
Pb: 0.667 0.333 0.088

=====

# 5
# Pm3Pt4Rh4

A relaxed structure of Pm3Pt4Rh4 (PBE, Alexandria via LeMat-Bulk).

Output
For the density of states at the Fermi level, the calculation gives 0.854 states/eV/atom. The value obtained for the energy of formation is -0.453 eV/atom. The raw total energy comes out at -6.62 eV per atom. The crystal system is cubic.

Unit cell a=6.732 b=6.732 c=6.732 alpha=109.47 beta=109.47 gamma=109.47
Fractional coordinates of all 11 atoms:
Pm: 0.000 0.500 0.500
Pm: 0.500 0.000 0.500
Pm: 0.500 0.500 0.000
Pt: 0.000 0.000 0.406
Pt: 0.000 0.406 0.000
Pt: 0.406 0.000 0.000
Pt: 0.594 0.594 0.594
Rh: 0.000 0.000 0.766
Rh: 0.000 0.766 0.000
Rh: 0.234 0.234 0.234
Rh: 0.766 0.000 0.000

=====

# 6
# Pm2Nd6HoEr

A relaxed structure of Pm2Nd6HoEr (PBE, Alexandria via LeMat-Bulk).

Output
For the density of states at the Fermi level, the calculation gives 1.433 states/eV/atom. The value obtained for the energy of formation is 0.114 eV/atom. The raw total energy comes out at -4.61 eV per atom. The crystal system is monoclinic.

Unit cell a=8.985 b=8.985 c=9.788 alpha=94.21 beta=94.21 gamma=118.10
Fractional coordinates of all 20 atoms:
Pm: 0.197 0.297 0.043
Pm: 0.297 0.197 0.543
Pm: 0.703 0.803 0.457
Pm: 0.803 0.703 0.957
Nd: 0.014 0.571 0.190
Nd: 0.122 0.757 0.555
Nd: 0.243 0.878 0.945
Nd: 0.292 0.503 0.381
Nd: 0.429 0.986 0.310
Nd: 0.497 0.708 0.119
Nd: 0.503 0.292 0.881
Nd: 0.571 0.014 0.690
Nd: 0.708 0.497 0.619
Nd: 0.757 0.122 0.055
Nd: 0.878 0.243 0.445
Nd: 0.986 0.429 0.810
Ho: 0.023 0.977 0.250
Ho: 0.977 0.023 0.750
Er: 0.409 0.591 0.750
Er: 0.591 0.409 0.250

=====

# 7
# BaTiZn2

A relaxed structure of BaTiZn2 (PBE, Alexandria via LeMat-Bulk).

Output
The value obtained for the excess energy over the best structure of this formula in the dataset is 0.0 kJ/mol of atoms. For the density of states at the Fermi level, the calculation gives 1.492 states/eV/atom. The value obtained for the energy of formation is 0.313 eV/atom. The raw total energy comes out at -2.78 eV per atom. The crystal system is cubic.

Unit cell a=7.346 b=7.346 c=7.346 alpha=90.00 beta=90.00 gamma=90.00
Fractional coordinates of all 16 atoms:
Ba: 0.000 0.000 0.000
Ba: 0.000 0.500 0.500
Ba: 0.500 0.000 0.500
Ba: 0.500 0.500 0.000
Ti: 0.000 0.000 0.500
Ti: 0.000 0.500 0.000
Ti: 0.500 0.000 0.000
Ti: 0.500 0.500 0.500
Zn: 0.250 0.250 0.250
Zn: 0.250 0.250 0.750
Zn: 0.250 0.750 0.250
Zn: 0.250 0.750 0.750
Zn: 0.750 0.250 0.250
Zn: 0.750 0.250 0.750
Zn: 0.750 0.750 0.250
Zn: 0.750 0.750 0.750

=====

# 8
# RbSrScF6

A relaxed structure of RbSrScF6 (PBE, Alexandria via LeMat-Bulk).

Output
The value obtained for the raw formation energy is -3687 meV per atom. For the density of states at the Fermi level, the calculation gives 0.000 states/eV/atom. The raw total energy comes out at -5.93 eV per atom. The crystal system is orthorhombic.

Unit cell a=7.727 b=7.727 c=7.727 alpha=119.36 beta=117.60 gamma=92.66
Fractional coordinates of all 18 atoms:
Rb: 0.350 0.100 0.250
Rb: 0.650 0.900 0.750
Sr: 0.000 0.500 0.500
Sr: 0.500 0.500 0.000
Sc: 0.000 0.000 0.500
Sc: 0.000 0.500 0.000
F: 0.046 0.339 0.148
F: 0.046 0.898 0.707
F: 0.065 0.315 0.750
F: 0.309 0.102 0.648
F: 0.309 0.661 0.207
F: 0.370 0.620 0.750
F: 0.630 0.380 0.250
F: 0.691 0.339 0.793
F: 0.691 0.898 0.352
F: 0.935 0.685 0.250
F: 0.954 0.102 0.293
F: 0.954 0.661 0.852

=====

# 9
# LiTcRu3

A relaxed structure of LiTcRu3 (PBE, Alexandria via LeMat-Bulk).

Output
The value obtained for the excess energy over the best structure of this formula in the dataset is 43.7 kJ/mol of atoms. For the density of states at the Fermi level, the calculation gives 1.185 states/eV/atom. The value obtained for the energy of formation is 1.411 eV/atom. The raw total energy comes out at -6.61 eV per atom. The crystal system is cubic.

Unit cell a=4.663 b=4.663 c=4.663 alpha=90.00 beta=90.00 gamma=90.00
Fractional coordinates of all 5 atoms:
Li: 0.000 0.000 0.000
Tc: 0.500 0.500 0.500
Ru: 0.000 0.500 0.500
Ru: 0.500 0.000 0.500
Ru: 0.500 0.500 0.000

=====

# 10
# Pm2ZnGaRu2

A relaxed structure of Pm2ZnGaRu2 (PBE, Alexandria via LeMat-Bulk).

Output
For the density of states at the Fermi level, the calculation gives 0.590 states/eV/atom. The value obtained for the energy of formation is -0.316 eV/atom. The raw total energy comes out at -5.71 eV per atom. The crystal system is orthorhombic.

Unit cell a=8.199 b=8.199 c=8.199 alpha=138.14 beta=60.90 gamma=137.86
Fractional coordinates of all 12 atoms:
Pm: 0.169 0.246 0.415
Pm: 0.331 0.746 0.077
Pm: 0.669 0.254 0.923
Pm: 0.831 0.754 0.585
Zn: 0.250 0.250 0.000
Zn: 0.750 0.750 0.000
Ga: 0.250 0.750 0.500
Ga: 0.750 0.250 0.500
Ru: 0.113 0.741 0.854
Ru: 0.387 0.241 0.628
Ru: 0.613 0.759 0.372
Ru: 0.887 0.259 0.146

=====

# 11
# Rb4AlTe4

A relaxed structure of Rb4AlTe4 (PBE, Alexandria via LeMat-Bulk).

Output
The value obtained for the raw formation energy is -858 meV per atom. For the density of states at the Fermi level, the calculation gives 1.138 states/eV/atom. The raw total energy comes out at -3.10 eV per atom. The crystal system is tetragonal.

Unit cell a=10.356 b=10.356 c=7.682 alpha=90.00 beta=90.00 gamma=90.00
Fractional coordinates of all 18 atoms:
Rb: 0.019 0.750 0.082
Rb: 0.250 0.519 0.582
Rb: 0.250 0.981 0.582
Rb: 0.481 0.750 0.082
Rb: 0.519 0.250 0.918
Rb: 0.750 0.019 0.418
Rb: 0.750 0.481 0.418
Rb: 0.981 0.250 0.918
Al: 0.250 0.250 0.250
Al: 0.750 0.750 0.750
Te: 0.032 0.251 0.429
Te: 0.249 0.032 0.071
Te: 0.251 0.468 0.071
Te: 0.468 0.249 0.429
Te: 0.532 0.751 0.571
Te: 0.749 0.532 0.929
Te: 0.751 0.968 0.929
Te: 0.968 0.749 0.571